[1]
Below is a relaxed CdCo2Sn2 crystal, with properties calculated at the PBE level.

Output
SG	I4/mmm, No. 139
polymorph energy (0 for the lowest one)	0.228	eV/atom

Lattice parameters (Å, degrees): 4.1863 4.1863 6.1427 70.08 70.08 90.00
Closest atoms and distances in Å follow each position.
Positions (direct):
Sn (0.2500, 0.7500, 0.5000)  4 Co 2.61
Co (0.3946, 0.3946, 0.2107)  1 Co 2.27
Sn (0.7500, 0.2500, 0.5000)  4 Co 2.61
Co (0.6054, 0.6054, 0.7893)  1 Co 2.27
Cd (0.0000, 0.0000, 0.0000)  8 Co 3.17, 8 Sn 3.41


[2]
Below is a relaxed Y3BiC crystal, with properties calculated at the PBE level.

Output
SG	P2_1/m, No. 11
polymorph energy (0 for the lowest one)	0.077	eV/atom

Lattice parameters (Å, degrees): 8.7201 8.0415 3.8291 90.00 90.00 74.56
Closest atoms and distances in Å follow each position.
Positions (direct):
C (0.1691, 0.2215, 0.9844)  6 Y 2.44-2.57
Y (0.6086, 0.6965, 0.4844)  1 C 2.44
Bi (0.3057, 0.6978, 0.9844)  7 Y 3.26-3.34
C (0.8945, 0.5633, 0.4844)  6 Y 2.44-2.57
Y (0.8800, 0.3555, 0.9844)  3 C 2.46-2.57
Y (0.1835, 0.4293, 0.4844)  3 C 2.46-2.57
Bi (0.7580, 0.0868, 0.4844)  7 Y 3.26-3.34
Y (0.1523, 0.0281, 0.4844)  2 C 2.49-2.50
Y (0.9114, 0.7566, 0.9844)  2 C 2.50
Y (0.4551, 0.0886, 0.9844)  1 C 2.44


[3]
Below is a relaxed Ca2CoSe crystal, with properties calculated at the PBE level.

Output
formation energy without anion corrections	-0.58	eV/atom
SG	P4/mmm, No. 123

Lattice parameters (Å, degrees): 3.6375 3.6375 6.8329 90.00 90.00 90.03
Closest atoms and distances in Å follow each position.
Positions (direct):
Ca (0.0000, 0.0000, 0.9994)  4 Se 3.09, 4 Co 3.09, 2 Ca 3.41-3.42
Ca (0.0000, 0.0000, 0.5006)  4 Se 3.09, 4 Co 3.09, 2 Ca 3.41-3.42
Se (0.5000, 0.5000, 0.7500)  8 Ca 3.09, 2 Co 3.42
Co (0.5000, 0.5000, 0.2500)  8 Ca 3.09, 2 Se 3.42


[4]
Below is a relaxed BeCr3Bi crystal, with properties calculated at the PBE level.

Output
SG	Pm-3m, No. 221
polymorph energy (0 for the lowest one)	0.000	eV/atom

Lattice parameters (Å, degrees): 4.2408 4.2408 4.2408 90.00 90.00 90.00
Closest atoms and distances in Å follow each position.
Positions (direct):
Bi (0.5000, 0.5000, 0.5000)  12 Cr 3.00
Cr (0.5000, 0.0000, 0.0000)  2 Be 2.12
Cr (0.0000, 0.5000, 0.0000)  2 Be 2.12
Be (0.0000, 0.0000, 0.0000)  6 Cr 2.12
Cr (0.0000, 0.0000, 0.5000)  2 Be 2.12


[5]
Below is a relaxed KHfB crystal, with properties calculated at the PBE level.

Output
SG	P1, No. 1
polymorph energy (0 for the lowest one)	0.248	eV/atom

Lattice parameters (Å, degrees): 3.8363 15.1894 3.8342 73.99 59.97 104.34
Closest atoms and distances in Å follow each position.
Positions (direct):
K (0.8549, 0.4559, 0.3589)  6 K 3.83-3.84, 3 Hf 4.09-4.10
B (0.8335, 0.9365, 0.3403)  1 B 1.78
Hf (0.3937, 0.8843, 0.1176)  6 B 2.31-2.47
B (0.5537, 0.7992, 0.6308)  1 B 1.78
Hf (0.7296, 0.7219, 0.1273)  3 B 2.43
K (0.5363, 0.1175, 0.2901)  3 B 3.22


[6]
Below is a relaxed Sc3TaSi crystal, with properties calculated at the PBE level.

Output
formation energy without anion corrections	0.53	eV/atom
SG	Pm-3m, No. 221
polymorph energy (0 for the lowest one)	0.000	eV/atom

Lattice parameters (Å, degrees): 4.9282 4.9282 4.9282 90.00 90.00 90.00
Closest atoms and distances in Å follow each position.
Positions (direct):
Sc (0.0000, 0.5000, 0.0000)  2 Si 2.46
Si (0.0000, 0.0000, 0.0000)  6 Sc 2.46
Ta (0.5000, 0.5000, 0.5000)  12 Sc 3.48
Sc (0.0000, 0.0000, 0.5000)  2 Si 2.46
Sc (0.5000, 0.0000, 0.0000)  2 Si 2.46


[7]
Below is a relaxed Cs2SnBrCl3 crystal, with properties calculated at the PBE level.

Output
formation energy without anion corrections	-1.53	eV/atom
SG	Immm, No. 71

Lattice parameters (Å, degrees): 5.8621 5.6333 9.6585 106.96 107.67 90.00
Closest atoms and distances in Å follow each position.
Positions (direct):
Cs (0.6434, 0.6434, 0.2868)  1 Cl 3.41, 2 Br 3.77
Cl (0.1617, 0.1617, 0.3235)  1 Sn 2.83
Cl (0.8383, 0.8383, 0.6765)  1 Sn 2.83
Br (0.5000, 0.0000, 0.0000)  2 Sn 2.93
Cs (0.3566, 0.3566, 0.7132)  1 Cl 3.41, 2 Br 3.77
Sn (0.0000, 0.0000, 0.0000)  4 Cl 2.82-2.83, 2 Br 2.93
Cl (0.0000, 0.5000, 0.0000)  2 Sn 2.82


[8]
Below is a relaxed Dy2C2S crystal, with properties calculated at the PBE level.

Output
formation energy without anion corrections	-0.97	eV/atom
SG	C2/c, No. 15

Lattice parameters (Å, degrees): 3.8456 6.7105 7.1755 104.59 105.54 90.00
Closest atoms and distances in Å follow each position.
Positions (direct):
Dy (0.4206, 0.6568, 0.2678)  3 C 2.33-2.56
C (0.3750, 0.0365, 0.4364)  1 C 1.32
S (0.2227, 0.2500, 0.0000)  6 Dy 2.83-2.88
S (0.7773, 0.7500, 0.0000)  6 Dy 2.83-2.88
Dy (0.1528, 0.8432, 0.7322)  3 C 2.33-2.56
C (0.6250, 0.9635, 0.5636)  1 C 1.32
Dy (0.8472, 0.1568, 0.2678)  3 C 2.33-2.56
Dy (0.5794, 0.3432, 0.7322)  3 C 2.33-2.56
C (0.0614, 0.5365, 0.4364)  1 C 1.32
C (0.9386, 0.4635, 0.5636)  1 C 1.32